Entry 1:
# MgRePb

An optimized crystal structure of MgRePb (GGA-PBE, Alexandria).

```
MgRePb
1.0
0.000 2.367 7.098
1.859 0.000 7.098
1.859 2.367 0.000
Mg Re Pb
1 1 1
direct
0.000 0.000 0.000
0.639 0.639 0.361
0.298 0.298 0.702
```

## Properties
The energy above the most stable polymorph in this dataset comes out at 0.26 eV per formula unit. The calculation puts the total moment at 0.000 μB/f.u. For the energy, the calculation gives -5.191 eV per atom. The energy of formation comes out at 0.73 eV/atom. The space group is Fmm2.



Entry 2:
# Sc2ReSi

An optimized crystal structure of Sc2ReSi (GGA-PBE, Alexandria).

```
Sc2ReSi
1.0
1.582 0.913 8.372
-1.582 0.913 8.372
0.000 -1.826 8.372
Sc Re Si
2 1 1
direct
0.248 0.248 0.248
0.752 0.752 0.752
0.500 0.500 0.500
0.000 0.000 0.000
```

## Properties
The calculation puts the total moment at 0.000 μB/f.u. For the energy, the calculation gives -7.708 eV per atom. The space group is R-3m. The value obtained for the uncorrected formation energy is -74.5 meV per atom.



Entry 3:
# Cs2BAsCl6

An optimized crystal structure of Cs2BAsCl6 (GGA-PBE, Alexandria).

```
Cs2BAsCl6
1.0
-3.644 3.644 5.139
3.644 -3.644 5.139
3.644 3.644 -5.139
Cs B As Cl
2 1 1 6
direct
0.250 0.750 0.500
0.750 0.250 0.500
0.000 0.000 0.000
0.500 0.500 0.000
0.252 0.252 0.000
0.253 0.253 0.506
0.253 0.747 0.000
0.747 0.253 0.000
0.747 0.747 0.494
0.748 0.748 0.000
```

## Properties
The calculation puts the total moment at 0.000 μB/f.u. For the energy, the calculation gives -3.230 eV per atom. The space group is I4/mmm. The value obtained for the uncorrected formation energy is -818.8 meV per atom.



Entry 4:
# CeHo2Hg2

An optimized crystal structure of CeHo2Hg2 (GGA-PBE, Alexandria).

```
CeHo2Hg2
1.0
3.427 -5.821 0.000
3.427 5.821 0.000
-3.426 0.000 8.189
Ce Ho Hg
2 4 4
direct
0.125 0.875 0.750
0.875 0.125 0.250
0.272 0.523 0.044
0.477 0.728 0.456
0.523 0.272 0.544
0.728 0.477 0.956
0.156 0.844 0.250
0.407 0.593 0.750
0.593 0.407 0.250
0.844 0.156 0.750
```

## Properties
The calculation puts the total moment at 1.679 μB/f.u. For the energy, the calculation gives -3.041 eV per atom. The energy of formation comes out at 0.10 eV/atom. The space group is C2/c.



Entry 5:
# Dy2Al2Zn

An optimized crystal structure of Dy2Al2Zn (GGA-PBE, Alexandria).

```
Dy2Al2Zn
1.0
5.332 -2.242 0.000
5.332 2.242 0.000
-4.752 0.000 9.355
Dy Al Zn
4 4 2
direct
0.019 0.019 0.334
0.182 0.182 0.094
0.818 0.818 0.906
0.981 0.981 0.666
0.359 0.359 0.433
0.485 0.485 0.121
0.515 0.515 0.879
0.641 0.641 0.567
0.273 0.273 0.656
0.727 0.727 0.344
```

## Properties
The calculation puts the total moment at 0.002 μB/f.u. For the energy, the calculation gives -4.022 eV per atom. The energy of formation comes out at -0.43 eV/atom. The space group is C2/m.



Entry 6:
# MgPBr2

An optimized crystal structure of MgPBr2 (GGA-PBE, Alexandria).

```
MgPBr2
1.0
8.012 -1.685 0.000
8.012 1.685 0.000
-0.177 0.000 4.402
Mg P Br
1 1 2
direct
0.000 0.000 0.000
0.500 0.500 0.500
0.366 0.366 0.788
0.634 0.634 0.212
```

## Properties
The energy above the most stable polymorph in this dataset comes out at 0.49 eV per formula unit. The calculation puts the total moment at 0.000 μB/f.u. For the energy, the calculation gives -3.001 eV per atom. The space group is C2/m. The value obtained for the uncorrected formation energy is -413.6 meV per atom.



Entry 7:
# MoRh2Br

An optimized crystal structure of MoRh2Br (GGA-PBE, Alexandria).

```
MoRh2Br
1.0
-2.042 2.042 3.823
2.042 -2.042 3.823
2.042 2.042 -3.823
Mo Rh Br
1 2 1
direct
0.000 0.000 0.000
0.250 0.750 0.500
0.750 0.250 0.500
0.500 0.500 0.000
```

## Properties
The energy above the most stable polymorph in this dataset comes out at 2.10 eV per formula unit. The calculation puts the total moment at 0.042 μB/f.u. For the energy, the calculation gives -6.107 eV per atom. The space group is I4/mmm. The value obtained for the uncorrected formation energy is 694.4 meV per atom.



Entry 8:
# PaCu2Bi

An optimized crystal structure of PaCu2Bi (GGA-PBE, Alexandria).

```
PaCu2Bi
1.0
2.192 1.265 4.955
-2.192 1.265 4.955
0.000 -2.531 4.955
Pa Cu Bi
1 2 1
direct
0.000 0.000 0.000
0.241 0.241 0.241
0.759 0.759 0.759
0.500 0.500 0.500
```

## Properties
The energy above the most stable polymorph in this dataset comes out at 0.06 eV per formula unit. The calculation puts the total moment at 0.000 μB/f.u. For the energy, the calculation gives -5.303 eV per atom. The energy of formation comes out at 0.09 eV/atom. The space group is R-3m.



Entry 9:
# La3Cu2Pd4

An optimized crystal structure of La3Cu2Pd4 (GGA-PBE, Alexandria).

```
La3Cu2Pd4
1.0
5.497 -2.222 0.000
5.497 2.222 0.000
-3.013 0.000 8.188
La Cu Pd
3 2 4
direct
0.000 0.000 0.000
0.335 0.335 0.329
0.665 0.665 0.671
0.386 0.386 0.715
0.614 0.614 0.285
0.062 0.062 0.387
0.284 0.284 0.933
0.716 0.716 0.067
0.938 0.938 0.613
```

## Properties
The calculation puts the total moment at 0.000 μB/f.u. For the energy, the calculation gives -5.506 eV per atom. The energy of formation comes out at -0.64 eV/atom. The space group is C2/m.



Entry 10:
# LiCaCe2S4

An optimized crystal structure of LiCaCe2S4 (GGA-PBE, Alexandria).

```
LiCaCe2S4
1.0
-3.989 4.041 5.672
3.989 -4.041 5.672
3.989 4.041 -5.672
Li Ca Ce S
2 2 4 8
direct
0.000 0.000 0.000
0.500 0.000 0.500
0.500 0.000 0.000
0.500 0.500 0.500
0.000 0.000 0.500
0.000 0.500 0.000
0.000 0.500 0.500
0.500 0.500 0.000
0.249 0.247 0.002
0.251 0.246 0.495
0.251 0.755 0.005
0.256 0.753 0.502
0.744 0.247 0.498
0.749 0.245 0.995
0.749 0.754 0.505
0.751 0.753 0.998
```

## Properties
The calculation puts the total moment at 2.511 μB/f.u. For the energy, the calculation gives -5.906 eV per atom. The space group is Imma. The value obtained for the uncorrected formation energy is -1869.0 meV per atom.



Entry 11:
# LiTlZnGe

An optimized crystal structure of LiTlZnGe (GGA-PBE, Alexandria).

```
LiTlZnGe
1.0
4.260 0.000 0.000
1.921 4.259 0.000
2.087 0.877 4.816
Li Tl Zn Ge
1 1 1 1
direct
0.000 0.000 0.000
0.399 0.442 0.810
0.210 0.257 0.397
0.819 0.876 0.545
```

## Properties
The energy above the most stable polymorph in this dataset comes out at 0.45 eV per formula unit. The calculation puts the total moment at 0.000 μB/f.u. For the energy, the calculation gives -2.504 eV per atom. The energy of formation comes out at 0.04 eV/atom. The space group is P1.



Entry 12:
# HfTa

An optimized crystal structure of HfTa (GGA-PBE, Alexandria).

```
HfTa
1.0
5.561 0.000 0.000
0.000 5.561 0.000
0.000 0.000 5.702
Hf Ta
4 4
direct
0.189 0.189 0.000
0.311 0.689 0.500
0.689 0.311 0.500
0.811 0.811 0.000
0.179 0.179 0.500
0.321 0.679 0.000
0.679 0.321 0.000
0.821 0.821 0.500
```

## Properties
The calculation puts the total moment at 0.000 μB/f.u. For the energy, the calculation gives -10.003 eV per atom. The energy of formation comes out at 0.90 eV/atom. The space group is P4_2/mnm.



The highest energy belongs to which entry?
LiTlZnGe



What did the ninth record say?
# La3Cu2Pd4

An optimized crystal structure of La3Cu2Pd4 (GGA-PBE, Alexandria).

```
La3Cu2Pd4
1.0
5.497 -2.222 0.000
5.497 2.222 0.000
-3.013 0.000 8.188
La Cu Pd
3 2 4
direct
0.000 0.000 0.000
0.335 0.335 0.329
0.665 0.665 0.671
0.386 0.386 0.715
0.614 0.614 0.285
0.062 0.062 0.387
0.284 0.284 0.933
0.716 0.716 0.067
0.938 0.938 0.613
```

## Properties
The calculation puts the total moment at 0.000 μB/f.u. For the energy, the calculation gives -5.506 eV per atom. The energy of formation comes out at -0.64 eV/atom. The space group is C2/m.



Look up the total moment of the twelfth one.
0.000 μB/f.u.